Entry from Alexandria: crystalline PuNpGe at its relaxed geometry (PBE).

Unit cell a=3.6934 b=3.6934 c=14.9980 alpha=90.00 beta=90.00 gamma=120.00
Space group R3m (No. 160, hexagonal axes)
Asymmetric unit:
Pu 0.0000 0.0000 0.0000
Np 0.0000 0.0000 0.2553
Ge 0.0000 0.0000 0.7922

Summary:
Energy of formation from the pure elements = -98 meV per atom
ρ = 15.6 Mg/m³
Relative energy among the computed polymorphs = 99.1 meV per atom
E = -10.728 eV/atom
Crystal system = trigonal
Magnetization = 0.0 Bohr magnetons per cell


Entry from Alexandria: crystalline PuNpGe at its relaxed geometry (PBE).

Unit cell a=3.5005 b=3.5005 c=5.5632 alpha=90.00 beta=90.00 gamma=120.00
Space group P3m1 (No. 156)
Asymmetric unit:
Pu 0.0000 0.0000 0.0000
Np 0.3333 0.6667 0.7650
Ge 0.6667 0.3333 0.3769

Summary:
Energy of formation from the pure elements = -197 meV per atom
ρ = 15.6 Mg/m³
Relative energy among the computed polymorphs = 0.0 meV per atom
E = -10.827 eV/atom
Crystal system = trigonal
Magnetization = 0.0 Bohr magnetons per cell


Entry from Alexandria: crystalline Pu4NpGe5 at its relaxed geometry (PBE).

Unit cell a=3.0141 b=3.0141 c=21.6790 alpha=90.00 beta=90.00 gamma=90.00
Space group P4/mmm (No. 123)
Asymmetric unit:
Pu 0.0000 0.0000 0.0982
Pu 0.0000 0.0000 0.2984
Np 0.0000 0.0000 0.5000
Ge 0.5000 0.5000 0.0000
Ge 0.5000 0.5000 0.1961
Ge 0.5000 0.5000 0.4011

Summary:
Energy of formation from the pure elements = 109 meV per atom
ρ = 13.3 Mg/m³
E = -9.226 eV/atom
Crystal system = tetragonal
Magnetization = 10.8 Bohr magnetons per cell


Entry from Alexandria: crystalline Pu2NpGe3 at its relaxed geometry (PBE).

Unit cell a=13.4361 b=8.3511 c=5.0313 alpha=90.00 beta=90.00 gamma=90.00
Space group Cmcm (No. 63)
Asymmetric unit:
Pu 0.1286 0.1838 0.2500
Np 0.0000 0.4497 0.7500
Ge 0.0000 0.1110 0.7500
Ge 0.2005 0.5000 0.0000

Summary:
Energy of formation from the pure elements = -178 meV per atom
ρ = 11.1 Mg/m³
E = -9.421 eV/atom
Crystal system = orthorhombic
Magnetization = 31.5 Bohr magnetons per cell


Entry from Alexandria: crystalline PuNpGeRu at its relaxed geometry (PBE).

Unit cell a=6.7271 b=6.7271 c=6.7271 alpha=90.00 beta=90.00 gamma=90.00
Space group F-43m (No. 216)
Asymmetric unit:
Pu 0.0000 0.0000 0.0000
Np 0.2500 0.2500 0.2500
Ge 0.2500 0.2500 0.7500
Ru 0.0000 0.0000 0.5000

Summary:
Energy of formation from the pure elements = -178 meV per atom
ρ = 14.3 Mg/m³
Relative energy among the computed polymorphs = 0.0 meV per atom
E = -10.470 eV/atom
Crystal system = cubic
Magnetization = 36.0 Bohr magnetons per cell


Entry from Alexandria: crystalline PuNpGeRu at its relaxed geometry (PBE).

Unit cell a=3.6640 b=4.3312 c=9.2383 alpha=90.00 beta=90.00 gamma=90.00
Space group Imm2 (No. 44)
Asymmetric unit:
Pu 0.0000 0.0000 0.0000
Np 0.0000 0.5000 0.3139
Ge 0.0000 0.5000 0.7576
Ru 0.0000 0.0000 0.5731

Summary:
Energy of formation from the pure elements = -124 meV per atom
ρ = 14.8 Mg/m³
Relative energy among the computed polymorphs = 53.8 meV per atom
E = -10.416 eV/atom
Crystal system = orthorhombic
Magnetization = 3.8 Bohr magnetons per cell


Entry from Alexandria: crystalline Rb2NpGeS5 at its relaxed geometry (PBE).

Unit cell a=4.0711 b=19.1887 c=14.2708 alpha=90.00 beta=90.00 gamma=90.00
Space group Cmc2_1 (No. 36)
Asymmetric unit:
Rb 0.0000 0.1209 0.0000
Rb 0.0000 0.1309 0.6487
Np 0.0000 0.1994 0.3508
Ge 0.0000 0.4379 0.7406
S 0.0000 0.0517 0.3320
S 0.0000 0.3032 0.9687
S 0.0000 0.3190 0.7180
S 0.0000 0.3264 0.3275
S 0.0000 0.4943 0.6109

Summary:
ΔE_f (raw) = -0.974 eV/atom
ρ = 3.8 Mg/m³
E = -5.433 eV/atom
Crystal system = orthorhombic
Magnetization = 11.0 Bohr magnetons per cell


Entry from Alexandria: crystalline RbNpGeSe3 at its relaxed geometry (PBE).

Unit cell a=9.5134 b=4.0443 c=9.7885 alpha=90.00 beta=112.88 gamma=90.00
Space group P2_1/m (No. 11)
Asymmetric unit:
Rb 0.0281 0.2500 0.2843
Np 0.4788 0.7500 0.6887
Ge 0.3703 0.7500 0.9747
Se 0.2340 0.2500 0.0347
Se 0.2688 0.2500 0.6778
Se 0.3415 0.7500 0.3711

Summary:
ΔE_f (raw) = -0.836 eV/atom
ρ = 6.0 Mg/m³
E = -5.666 eV/atom
Crystal system = monoclinic
Magnetization = 7.3 Bohr magnetons per cell


Entry from Alexandria: crystalline Rb2NpGeSe4 at its relaxed geometry (PBE).

Unit cell a=7.3795 b=4.2703 c=8.2204 alpha=90.00 beta=106.97 gamma=90.00
Space group P2/m (No. 10)
Asymmetric unit:
Rb 0.0000 0.0000 0.0000
Rb 0.5000 0.5000 0.0000
Np 0.0000 0.5000 0.5000
Ge 0.5000 0.0000 0.5000
Se 0.2274 0.0000 0.6905
Se 0.2631 0.5000 0.3127

Summary:
ΔE_f (raw) = -0.959 eV/atom
ρ = 5.3 Mg/m³
E = -5.138 eV/atom
Crystal system = monoclinic
Magnetization = 3.0 Bohr magnetons per cell


Entry from Alexandria: crystalline Rb4Np3GeSe8 at its relaxed geometry (PBE).

Unit cell a=8.6079 b=8.6079 c=23.7332 alpha=90.00 beta=90.00 gamma=120.00
Space group R-3m (No. 166, hexagonal axes)
Asymmetric unit:
Rb 0.0000 0.0000 0.0000
Rb 0.0000 0.5000 0.0000
Np 0.0000 0.5000 0.5000
Ge 0.0000 0.0000 0.5000
Se 0.0000 0.0000 0.2318
Se 0.0020 0.5010 0.7697

Summary:
ΔE_f (raw) = -1.111 eV/atom
ρ = 5.7 Mg/m³
E = -5.810 eV/atom
Crystal system = trigonal
Magnetization = 33.0 Bohr magnetons per cell